Compound: ThInGaI6
Source: the Alexandria database
Functional: PBE
Structure: optimized geometry

Values from the calculation:
Electronic total energy: -3.37 eV/atom
Energy relative to the elements, uncorrected: -0.870 eV per atom
Symmetry: P-31c, No. 163

```
18
Lattice="8.221 0.000 0.000 -4.110 7.119 0.000 0.000 0.000 14.822" Properties=species:S:1:pos:R:3 pbc="T T T"
Th 0.000 4.746 3.705
Th 4.110 2.373 11.116
In 0.000 0.000 0.000
In 0.000 0.000 7.411
Ga 0.000 4.746 11.116
Ga 4.110 2.373 3.705
I -1.351 2.605 1.943
I -2.530 4.647 5.468
I 1.351 2.605 5.468
I -1.179 6.987 1.943
I 2.931 0.132 9.354
I 1.580 2.472 12.879
I 2.530 4.647 1.943
I 1.179 6.987 5.468
I 5.290 0.132 12.879
I 2.759 4.515 9.354
I 6.641 2.472 9.354
I 5.461 4.515 12.879
```